No. 1
5
Lattice="3.800 0.000 0.000 0.000 3.800 0.000 0.000 0.000 3.800" Properties=species:S:1:pos:R:3 comment="Ni3SN GGA-PBE relaxed" rho_g_cm3=6.722 formation_energy_uncorrected_ev_per_atom=0.159 spacegroup="Pm-3m, No. 221" dos_at_fermi_per_ev_atom=0.72 de_polymorph_mev_per_atom=0.0 volume_a3_per_atom=11.0 magnetic_moment_mub_per_cell=0.00 pbc="T T T"
Ni 0.000 0.000 1.900
Ni 0.000 1.900 0.000
Ni 1.900 0.000 0.000
S 1.900 1.900 1.900
N 0.000 0.000 0.000

***

No. 2
5
Lattice="3.464 0.000 0.000 0.000 3.464 0.000 0.000 0.000 3.464" Properties=species:S:1:pos:R:3 comment="NiSN3 GGA-PBE relaxed" rho_g_cm3=5.302 formation_energy_uncorrected_ev_per_atom=1.969 spacegroup="Pm-3m, No. 221" dos_at_fermi_per_ev_atom=0.66 volume_a3_per_atom=8.3 magnetic_moment_mub_per_cell=2.04 pbc="T T T"
Ni 0.000 0.000 0.000
S 1.732 1.732 1.732
N 0.000 1.732 1.732
N 1.732 0.000 1.732
N 1.732 1.732 0.000

***

No. 3
5
Lattice="4.770 0.000 0.000 0.000 4.770 0.000 0.000 0.000 3.508" Properties=species:S:1:pos:R:3 comment="NiSbS2N GGA-PBE relaxed" rho_g_cm3=5.380 formation_energy_uncorrected_ev_per_atom=0.453 spacegroup="P4/mmm, No. 123" dos_at_fermi_per_ev_atom=0.23 de_polymorph_mev_per_atom=0.0 volume_a3_per_atom=16.0 magnetic_moment_mub_per_cell=0.65 pbc="T T T"
Ni 0.000 0.000 0.000
Sb 2.385 2.385 1.754
S 0.000 2.385 0.000
S 2.385 0.000 0.000
N 0.000 0.000 1.754

***

No. 4
5
Lattice="3.839 0.000 0.000 0.000 3.839 0.000 0.000 0.000 4.706" Properties=species:S:1:pos:R:3 comment="NiSbSN2 GGA-PBE relaxed" rho_g_cm3=5.760 formation_energy_uncorrected_ev_per_atom=1.094 spacegroup="P4/mmm, No. 123" dos_at_fermi_per_ev_atom=0.58 de_polymorph_mev_per_atom=0.0 volume_a3_per_atom=13.9 magnetic_moment_mub_per_cell=2.51 pbc="T T T"
Ni 0.000 0.000 0.000
Sb 1.919 1.919 2.353
S 0.000 0.000 2.353
N 0.000 1.919 0.000
N 1.919 0.000 0.000

***

No. 5
5
Lattice="3.932 0.000 0.000 0.000 3.932 0.000 0.000 0.000 5.337" Properties=species:S:1:pos:R:3 comment="NiSbSN2 GGA-PBE relaxed" rho_g_cm3=4.841 formation_energy_uncorrected_ev_per_atom=1.495 spacegroup="P4/mmm, No. 123" dos_at_fermi_per_ev_atom=1.04 de_polymorph_mev_per_atom=400.9 volume_a3_per_atom=16.5 magnetic_moment_mub_per_cell=2.51 pbc="T T T"
Ni 0.000 0.000 0.000
Sb 1.966 1.966 2.669
S 1.966 1.966 0.000
N 0.000 1.966 2.669
N 1.966 0.000 2.669

***

No. 6
5
Lattice="5.043 0.000 0.000 0.000 5.043 0.000 0.000 0.000 3.884" Properties=species:S:1:pos:R:3 comment="NiSbS2N GGA-PBE relaxed" rho_g_cm3=4.346 formation_energy_uncorrected_ev_per_atom=1.210 spacegroup="P4/mmm, No. 123" dos_at_fermi_per_ev_atom=1.05 de_polymorph_mev_per_atom=757.1 volume_a3_per_atom=19.8 magnetic_moment_mub_per_cell=2.33 pbc="T T T"
Ni 0.000 0.000 0.000
Sb 2.522 2.522 1.942
S 0.000 2.522 1.942
S 2.522 0.000 1.942
N 2.522 2.522 0.000

***

No. 7
5
Lattice="3.725 0.000 0.000 0.000 3.725 0.000 0.000 0.000 4.533" Properties=species:S:1:pos:R:3 comment="ScNiSN2 GGA-PBE relaxed" rho_g_cm3=4.321 formation_energy_uncorrected_ev_per_atom=0.287 spacegroup="P4/mmm, No. 123" dos_at_fermi_per_ev_atom=0.74 de_polymorph_mev_per_atom=0.0 volume_a3_per_atom=12.6 magnetic_moment_mub_per_cell=1.51 pbc="T T T"
Sc 0.000 0.000 0.000
Ni 1.863 1.863 2.267
S 1.863 1.863 0.000
N 0.000 1.863 2.267
N 1.863 0.000 2.267

***

No. 8
5
Lattice="4.057 0.000 0.000 0.000 4.057 0.000 0.000 0.000 5.150" Properties=species:S:1:pos:R:3 comment="ScNiSN2 GGA-PBE relaxed" rho_g_cm3=3.207 formation_energy_uncorrected_ev_per_atom=0.977 spacegroup="P4/mmm, No. 123" dos_at_fermi_per_ev_atom=1.50 de_polymorph_mev_per_atom=690.0 volume_a3_per_atom=17.0 magnetic_moment_mub_per_cell=4.03 pbc="T T T"
Sc 0.000 0.000 0.000
Ni 2.029 2.029 2.575
S 0.000 0.000 2.575
N 0.000 2.029 0.000
N 2.029 0.000 0.000

***

What did the first record say?
5
Lattice="3.800 0.000 0.000 0.000 3.800 0.000 0.000 0.000 3.800" Properties=species:S:1:pos:R:3 comment="Ni3SN GGA-PBE relaxed" rho_g_cm3=6.722 formation_energy_uncorrected_ev_per_atom=0.159 spacegroup="Pm-3m, No. 221" dos_at_fermi_per_ev_atom=0.72 de_polymorph_mev_per_atom=0.0 volume_a3_per_atom=11.0 magnetic_moment_mub_per_cell=0.00 pbc="T T T"
Ni 0.000 0.000 1.900
Ni 0.000 1.900 0.000
Ni 1.900 0.000 0.000
S 1.900 1.900 1.900
N 0.000 0.000 0.000

***

Copy entry 6 word for word.
5
Lattice="5.043 0.000 0.000 0.000 5.043 0.000 0.000 0.000 3.884" Properties=species:S:1:pos:R:3 comment="NiSbS2N GGA-PBE relaxed" rho_g_cm3=4.346 formation_energy_uncorrected_ev_per_atom=1.210 spacegroup="P4/mmm, No. 123" dos_at_fermi_per_ev_atom=1.05 de_polymorph_mev_per_atom=757.1 volume_a3_per_atom=19.8 magnetic_moment_mub_per_cell=2.33 pbc="T T T"
Ni 0.000 0.000 0.000
Sb 2.522 2.522 1.942
S 0.000 2.522 1.942
S 2.522 0.000 1.942
N 2.522 2.522 0.000